This record from Alexandria describes InHPd3 after structural relaxation. The functional is GGA-PBE.

Lattice parameters (Å, degrees): 4.7243 5.7427 5.0921 90.00 92.08 90.00
Fractional coordinates of all 10 atoms:
In 0.2402 0.2500 0.3392
In 0.7598 0.7500 0.6608
H 0.3730 0.7500 0.0172
H 0.6270 0.2500 0.9828
Pd 0.2454 0.0048 0.8335
Pd 0.2454 0.4952 0.8335
Pd 0.2566 0.7500 0.3444
Pd 0.7434 0.2500 0.6556
Pd 0.7546 0.5048 0.1665
Pd 0.7546 0.9952 0.1665

Summary:
Its final energy is -4.69 eV per atom. The symmetry is P2_1/m (11). The energy above the most stable polymorph in this dataset is 89 meV per atom.